Entry 1:
! La2GaGe PBE optimized geometry; values from VASP
&SYSTEM
  ibrav = 0, nat = 8, ntyp = 3
/
ATOMIC_SPECIES
Ga 69.72 Ga.upf
Ge 72.64 Ge.upf
La 138.91 La.upf
ATOMIC_POSITIONS crystal
Ga 0.250 0.750 0.500
Ga 0.500 0.500 0.000
Ge 0.000 0.000 0.000
Ge 0.750 0.250 0.500
La 0.375 0.363 0.750
La 0.113 0.625 0.250
La 0.637 0.125 0.250
La 0.875 0.887 0.750
CELL_PARAMETERS angstrom
8.247 0.000 0.000
0.000 8.247 0.000
4.123 4.123 3.523
! Crystal system: tetragonal
! Calculated formation energy, meV/atom: -344
! Spin magnetization, μB per formula unit: 0.00
! E, eV/cell: -37.75
! DOS at the Fermi energy, states/eV per cell: 8.12
! Space-group type: I-42d (122)



Entry 2:
! La3Ga2Ge PBE optimized geometry; values from VASP
&SYSTEM
  ibrav = 0, nat = 24, ntyp = 3
/
ATOMIC_SPECIES
Ge 72.64 Ge.upf
Ga 69.72 Ga.upf
La 138.91 La.upf
ATOMIC_POSITIONS crystal
Ge 0.250 0.369 0.633
Ge 0.750 0.631 0.367
Ge 0.250 0.131 0.133
Ge 0.750 0.869 0.867
Ga 0.250 0.489 0.809
Ga 0.250 0.011 0.309
Ga 0.750 0.309 0.524
Ga 0.750 0.511 0.191
Ga 0.750 0.989 0.691
Ga 0.750 0.191 0.024
Ga 0.250 0.691 0.476
Ga 0.250 0.809 0.976
La 0.250 0.054 0.883
La 0.250 0.122 0.564
La 0.250 0.378 0.064
La 0.750 0.878 0.436
La 0.250 0.789 0.706
La 0.750 0.289 0.794
La 0.750 0.946 0.117
La 0.750 0.622 0.936
La 0.750 0.554 0.617
La 0.250 0.711 0.206
La 0.750 0.211 0.294
La 0.250 0.446 0.383
CELL_PARAMETERS angstrom
-2.006 -2.368 -2.929
-0.768 -9.541 8.240
-11.063 4.379 4.039
! Crystal system: orthorhombic
! Calculated formation energy, meV/atom: -613
! Spin magnetization, μB per formula unit: 0.34
! E, eV/cell: -116.53
! DOS at the Fermi energy, states/eV per cell: 24.36
! Space-group type: Pnma (62)



Entry 3:
! La3Ga2Ge2 PBE optimized geometry; values from VASP
&SYSTEM
  ibrav = 0, nat = 7, ntyp = 3
/
ATOMIC_SPECIES
Ge 72.64 Ge.upf
Ga 69.72 Ga.upf
La 138.91 La.upf
ATOMIC_POSITIONS crystal
Ge 0.956 0.913 0.691
Ge 0.044 0.087 0.309
Ga 0.806 0.612 0.072
Ga 0.194 0.388 0.928
La 0.662 0.324 0.622
La 0.500 0.000 0.000
La 0.338 0.676 0.378
CELL_PARAMETERS angstrom
4.352 0.000 0.000
-2.176 5.091 -2.452
0.000 -0.222 8.317
! Crystal system: monoclinic
! Calculated formation energy, meV/atom: -763
! Spin magnetization, μB per formula unit: 0.00
! E, eV/cell: -35.41
! DOS at the Fermi energy, states/eV per cell: 4.70
! Space-group type: C2/m (12)



Entry 4:
! La8GaGe2 PBE optimized geometry; values from VASP
&SYSTEM
  ibrav = 0, nat = 11, ntyp = 3
/
ATOMIC_SPECIES
La 138.91 La.upf
Ga 69.72 Ga.upf
Ge 72.64 Ge.upf
ATOMIC_POSITIONS crystal
La 0.813 0.613 0.613
La 0.460 0.719 0.945
La 0.183 0.400 0.400
La 0.967 0.167 0.697
La 0.526 0.090 0.329
La 0.526 0.329 0.090
La 0.967 0.697 0.167
La 0.460 0.945 0.719
Ga 0.019 0.000 0.000
Ge 0.538 0.342 0.732
Ge 0.538 0.732 0.342
CELL_PARAMETERS angstrom
5.763 -0.287 -1.196
-2.313 7.380 -3.401
-0.246 -0.427 8.434
! Polymorph energy (0 for the lowest one), meV per atom: 23.8
! Crystal system: monoclinic
! Calculated formation energy, meV/atom: -384
! Spin magnetization, μB per formula unit: 0.00
! E, eV/cell: -55.90
! DOS at the Fermi energy, states/eV per cell: 12.45
! Space-group type: Cm (8)



Entry 5:
! La3Ga2Ge3 PBE optimized geometry; values from VASP
&SYSTEM
  ibrav = 0, nat = 16, ntyp = 3
/
ATOMIC_SPECIES
La 138.91 La.upf
Ge 72.64 Ge.upf
Ga 69.72 Ga.upf
ATOMIC_POSITIONS crystal
La 0.345 0.691 0.750
La 0.060 0.119 0.890
La 0.060 0.119 0.610
La 0.655 0.309 0.250
La 0.940 0.881 0.390
La 0.940 0.881 0.110
Ge 0.374 0.748 0.250
Ge 0.370 0.741 0.541
Ge 0.626 0.252 0.750
Ge 0.630 0.259 0.041
Ge 0.370 0.741 0.959
Ge 0.630 0.259 0.459
Ga 0.229 0.457 0.105
Ga 0.229 0.457 0.395
Ga 0.771 0.543 0.895
Ga 0.771 0.543 0.605
CELL_PARAMETERS angstrom
-0.903 0.538 4.197
-5.226 -0.827 -3.249
1.046 -15.093 2.159
! Crystal system: orthorhombic
! Calculated formation energy, meV/atom: -692
! Spin magnetization, μB per formula unit: 0.00
! E, eV/cell: -80.44
! DOS at the Fermi energy, states/eV per cell: 12.31
! Space-group type: Cmcm (63)



Entry 6:
! La3Ga4Ge2 PBE optimized geometry; values from VASP
&SYSTEM
  ibrav = 0, nat = 9, ntyp = 3
/
ATOMIC_SPECIES
La 138.91 La.upf
Ga 69.72 Ga.upf
Ge 72.64 Ge.upf
ATOMIC_POSITIONS crystal
La 0.332 0.665 0.333
La 0.668 0.335 0.667
La 0.000 0.000 0.000
Ga 0.292 0.584 0.962
Ga 0.032 0.064 0.368
Ga 0.708 0.416 0.038
Ga 0.968 0.936 0.632
Ge 0.373 0.746 0.707
Ge 0.627 0.254 0.293
CELL_PARAMETERS angstrom
4.289 0.000 0.000
-2.144 5.706 -1.127
0.000 0.428 8.660
! Crystal system: monoclinic
! Calculated formation energy, meV/atom: -751
! Spin magnetization, μB per formula unit: 0.00
! E, eV/cell: -42.88
! DOS at the Fermi energy, states/eV per cell: 3.32
! Space-group type: C2/m (12)